(1)
Entry from Alexandria via LeMat-Bulk: a relaxed structure of SiHg2Ir (PBE).

CIF file:
```
data_SiHg2Ir
_chemical_formula_sum 'Si2 Hg4 Ir2'
_symmetry_space_group_name_H-M 'I -4 m 2'
_symmetry_Int_Tables_number 119
_symmetry_space_group_name_Hall 'I -4 -2'
_cell_length_a 4.204
_cell_length_b 4.204
_cell_length_c 8.141
_cell_angle_alpha 90.00
_cell_angle_beta 90.00
_cell_angle_gamma 90.00
loop_
_atom_site_label
_atom_site_type_symbol
_atom_site_fract_x
_atom_site_fract_y
_atom_site_fract_z
Si1 Si 0.000 0.000 0.000
Hg1 Hg 0.000 0.000 0.500
Hg2 Hg 0.000 0.500 0.750
Ir1 Ir 0.000 0.500 0.250
```

Output
- ΔE_f (raw): 0.53 eV/atom
- Crystal system: tetragonal

(2)
Entry from Alexandria via LeMat-Bulk: a relaxed structure of Li2Y (PBE).

CIF file:
```
data_Li2Y
_chemical_formula_sum 'Li16 Y8'
_symmetry_space_group_name_H-M 'I 41/a m d'
_symmetry_Int_Tables_number 141
_cell_length_a 4.564
_cell_length_b 4.564
_cell_length_c 28.817
_cell_angle_alpha 90.00
_cell_angle_beta 90.00
_cell_angle_gamma 90.00
loop_
_symmetry_equiv_pos_as_xyz
'x,y,z'
'-x,-y,-z'
'-y+1/4,x+3/4,z+1/4'
'y+1/4,-x+3/4,-z+1/4'
'-x+1/2,-y,z+1/2'
'x+1/2,y,-z+1/2'
'y+1/4,-x+1/4,z+3/4'
'-y+1/4,x+1/4,-z+3/4'
'x,-y,-z'
'-x,y,z'
'-y+1/4,-x+1/4,-z+3/4'
'y+1/4,x+1/4,z+3/4'
'-x+1/2,y,-z+1/2'
'x+1/2,-y,z+1/2'
'y+1/4,x+3/4,-z+1/4'
'-y+1/4,-x+3/4,z+1/4'
'x+1/2,y+1/2,z+1/2'
'-x+1/2,-y+1/2,-z+1/2'
'-y+3/4,x+1/4,z+3/4'
'y+3/4,-x+1/4,-z+3/4'
'-x,-y+1/2,z'
'x,y+1/2,-z'
'y+3/4,-x+3/4,z+1/4'
'-y+3/4,x+3/4,-z+1/4'
'x+1/2,-y+1/2,-z+1/2'
'-x+1/2,y+1/2,z+1/2'
'-y+3/4,-x+3/4,-z+1/4'
'y+3/4,x+3/4,z+1/4'
'-x,y+1/2,-z'
'x,-y+1/2,z'
'y+3/4,x+1/4,-z+3/4'
'-y+3/4,-x+1/4,z+3/4'
loop_
_atom_site_label
_atom_site_type_symbol
_atom_site_fract_x
_atom_site_fract_y
_atom_site_fract_z
Li1 Li 0.000 0.250 0.122
Li2 Li 0.000 0.250 0.296
Y1 Y 0.000 0.250 0.793
```

Output
- Raw total energy: -3.212 eV/atom
- Crystal system: tetragonal